The following is a GGA-PBE calculation of Ho2TmCd6 after structural relaxation, from Alexandria.

abc: 3.404 8.588 8.588
angles: 120.00 90.00 90.00
Positions (direct):
Cd: 0.500 0.667 0.667
Cd: 0.500 0.333 0.000
Cd: 0.500 0.000 0.333
Cd: 0.500 0.667 0.000
Cd: 0.500 0.000 0.667
Cd: 0.500 0.333 0.333
Tm: 0.000 0.000 0.000
Ho: 0.000 0.667 0.333
Ho: 0.000 0.333 0.667

## Properties
* symmetry: P6/mmm
* formation enthalpy at 0 K: -6.95 kcal/mol of atoms

=====

The following is a GGA-PBE calculation of Al5As after structural relaxation, from Alexandria.

abc: 5.025 5.025 4.705
angles: 90.00 90.00 120.00
Positions (direct):
Al: 0.000 0.666 0.000
Al: 0.333 0.667 0.500
Al: 0.667 0.333 0.500
Al: 0.334 0.334 0.000
Al: 0.666 0.000 0.000
As: 0.000 0.000 0.500

## Properties
* symmetry: P-62m
* polymorph energy (0 for the lowest one): 13 meV per atom
* formation enthalpy at 0 K: 1.68 kcal/mol of atoms

=====

The following is a GGA-PBE calculation of TmScPt2 after structural relaxation, from Alexandria.

abc: 4.781 4.781 4.781
angles: 60.00 60.00 60.00
Positions (direct):
Pt: 0.750 0.750 0.750
Tm: 0.500 0.500 0.500
Sc: 0.000 0.000 0.000
Pt: 0.250 0.250 0.250

## Properties
* symmetry: Fm-3m
* polymorph energy (0 for the lowest one): 10 meV per atom
* formation enthalpy at 0 K: -28.67 kcal/mol of atoms

=====

The following is a GGA-PBE calculation of Ta6Nb2W after structural relaxation, from Alexandria.

abc: 4.678 12.706 12.706
angles: 28.52 90.00 90.00
Positions (direct):
Ta: 0.750 0.723 0.989
Ta: 0.250 0.769 0.112
Ta: 0.250 0.455 0.231
Nb: 0.750 0.375 0.123
Ta: 0.750 0.112 0.769
Nb: 0.250 0.123 0.375
Ta: 0.750 0.231 0.455
Ta: 0.250 0.888 0.231
W: 0.750 0.811 0.189
Nb: 0.750 0.877 0.625
Ta: 0.750 0.011 0.277
Ta: 0.750 0.231 0.888
Ta: 0.250 0.277 0.011
Ta: 0.750 0.545 0.769
Nb: 0.250 0.625 0.877
Ta: 0.250 0.769 0.545
W: 0.250 0.189 0.811
Ta: 0.250 0.989 0.723

## Properties
* symmetry: Cmcm
* polymorph energy (0 for the lowest one): 0 meV per atom
* formation enthalpy at 0 K: 11.33 kcal/mol of atoms

=====

The following is a GGA-PBE calculation of TaIrBr2 after structural relaxation, from Alexandria.

abc: 8.004 8.004 8.004
angles: 157.13 148.61 39.19
Positions (direct):
Br: 0.104 0.104 0.000
Ta: 0.250 0.750 0.500
Br: 0.396 0.396 0.000
Ir: 0.750 0.250 0.500

## Properties
* energy relative to the elements, uncorrected: 0.084 eV/atom
* symmetry: Immm
* polymorph energy (0 for the lowest one): 519 meV per atom

=====

The following is a GGA-PBE calculation of Ac12PrY2 after structural relaxation, from Alexandria.

abc: 7.270 7.270 26.969
angles: 90.00 90.00 90.00
Positions (direct):
Y: 0.500 0.000 0.777
Ac: 0.500 0.500 0.801
Y: 0.000 0.500 0.777
Pr: 0.500 0.000 0.000
Ac: 0.251 0.249 0.898
Ac: 0.329 0.171 0.562
Ac: 0.249 0.749 0.898
Ac: 0.500 0.500 0.672
Ac: 0.000 0.000 0.328
Ac: 0.171 0.329 0.438
Y: 0.000 0.500 0.223
Ac: 0.251 0.751 0.102
Ac: 0.671 0.829 0.562
Pr: 0.000 0.500 0.000
Ac: 0.000 0.000 0.199
Ac: 0.249 0.251 0.102
Ac: 0.171 0.671 0.562
Ac: 0.000 0.000 0.801
Ac: 0.751 0.749 0.102
Ac: 0.500 0.500 0.328
Ac: 0.500 0.500 0.199
Ac: 0.000 0.000 0.672
Ac: 0.751 0.251 0.898
Y: 0.500 0.000 0.223
Ac: 0.749 0.249 0.102
Ac: 0.829 0.329 0.562
Ac: 0.671 0.171 0.438
Ac: 0.329 0.829 0.438
Ac: 0.749 0.751 0.898
Ac: 0.829 0.671 0.438

## Properties
* symmetry: P4/nbm
* formation enthalpy at 0 K: 9.70 kcal/mol of atoms

=====

The following is a GGA-PBE calculation of SnB2F8 after structural relaxation, from Alexandria.

abc: 5.945 5.530 5.530
angles: 56.90 71.38 71.38
Positions (direct):
F: 0.236 0.360 0.928
B: 0.691 0.795 0.795
Sn: 0.000 0.000 0.000
F: 0.563 0.165 0.165
F: 0.805 0.640 0.640
F: 0.764 0.072 0.640
F: 0.764 0.640 0.072
B: 0.309 0.205 0.205
F: 0.195 0.360 0.360
F: 0.437 0.835 0.835
F: 0.236 0.928 0.360

## Properties
* energy relative to the elements, uncorrected: -2.684 eV/atom
* symmetry: C2/m

=====

The following is a GGA-PBE calculation of Sm4Er8Sc after structural relaxation, from Alexandria.

abc: 10.862 10.862 7.685
angles: 90.00 134.96 120.00
Positions (direct):
Er: 0.000 0.758 0.243
Er: 0.000 0.242 0.757
Sm: 0.500 0.000 0.000
Er: 0.485 0.243 0.728
Er: 0.486 0.243 0.243
Er: 0.515 0.757 0.272
Sm: 0.000 0.500 0.000
Er: 0.000 0.757 0.757
Sc: 0.000 0.500 0.500
Er: 0.514 0.757 0.757
Er: 0.000 0.243 0.243
Sm: 0.000 0.000 0.000
Sm: 0.500 0.500 0.000

## Properties
* symmetry: R-3m
* formation enthalpy at 0 K: 12.17 kcal/mol of atoms

=====

The following is a GGA-PBE calculation of Th5Al6 after structural relaxation, from Alexandria.

abc: 4.369 4.239 15.544
angles: 97.84 90.00 90.00
Positions (direct):
Al: 0.500 0.912 0.823
Th: 0.500 0.195 0.390
Th: 0.000 0.618 0.236
Th: 0.000 0.000 0.000
Al: 0.500 0.459 0.918
Th: 0.500 0.805 0.610
Al: 0.000 0.276 0.552
Al: 0.000 0.724 0.448
Th: 0.000 0.382 0.764
Al: 0.500 0.088 0.177
Al: 0.500 0.541 0.082

## Properties
* symmetry: Cmmm
* formation enthalpy at 0 K: -7.97 kcal/mol of atoms

=====

The following is a GGA-PBE calculation of Ho2SiI after structural relaxation, from Alexandria.

abc: 4.198 4.198 7.767
angles: 74.32 74.32 60.00
Positions (direct):
Si: 0.000 0.000 0.000
I: 0.500 0.500 0.500
Ho: 0.730 0.730 0.809
Ho: 0.270 0.270 0.191

## Properties
* energy relative to the elements, uncorrected: -0.867 eV/atom
* symmetry: R-3m
* polymorph energy (0 for the lowest one): 0 meV per atom

=====

The following is a GGA-PBE calculation of FeSbRh2 after structural relaxation, from Alexandria.

abc: 4.544 4.544 3.064
angles: 90.00 90.00 100.60
Last column: magnetic moment on the atom in μB.
Positions (direct):
Rh: 0.500 0.500 0.000  0.43
Rh: 0.000 0.000 0.000  0.43
Sb: 0.500 0.000 0.500  0.01
Fe: 0.000 0.500 0.500  3.12

## Properties
* energy relative to the elements, uncorrected: -0.089 eV/atom
* symmetry: Cmmm

=====

The following is a GGA-PBE calculation of PmMgGa2Ni2 after structural relaxation, from Alexandria.

abc: 4.221 4.221 6.832
angles: 90.00 90.00 120.00
Positions (direct):
Mg: 0.000 0.000 0.500
Ni: 0.333 0.667 0.656
Ga: 0.333 0.667 0.284
Ni: 0.667 0.333 0.344
Ga: 0.667 0.333 0.716
Pm: 0.000 0.000 0.000

## Properties
* symmetry: P-3m1
* formation enthalpy at 0 K: -11.10 kcal/mol of atoms

=====

The following is a GGA-PBE calculation of K3Pa3CoSe8 after structural relaxation, from Alexandria.

abc: 8.140 8.135 9.226
angles: 116.11 90.00 120.02
Last column: magnetic moment on the atom in μB.
Positions (direct):
Pa: 0.500 0.500 0.500  0.89
Se: 0.226 0.969 0.695  -0.01
Se: 0.775 0.550 0.306  -0.01
K: 0.000 0.500 0.000  0.00
K: 0.500 0.500 0.000  0.00
Pa: 0.500 0.000 0.500  0.89
Se: 0.743 0.969 0.695  -0.01
Se: 0.257 0.031 0.305  -0.01
Se: 0.262 0.525 0.287  -0.02
Se: 0.774 0.031 0.305  -0.01
Se: 0.738 0.475 0.713  -0.02
Se: 0.225 0.450 0.694  -0.01
K: 0.000 0.000 0.000  0.00
Pa: 0.000 0.500 0.500  0.89
Co: 0.000 0.000 0.500  1.86

## Properties
* energy relative to the elements, uncorrected: -1.152 eV/atom
* symmetry: C2/m

=====

The following is a GGA-PBE calculation of SmDy2HfP4 after structural relaxation, from Alexandria.

abc: 3.940 6.838 6.826
angles: 109.22 90.00 90.00
Positions (direct):
Dy: 0.000 0.500 0.500
Sm: 0.500 0.500 0.000
P: 0.500 0.234 0.238
Dy: 0.500 0.000 0.500
P: 0.000 0.238 0.753
P: 0.500 0.766 0.762
Hf: 0.000 0.000 0.000
P: 0.000 0.762 0.247

## Properties
* symmetry: P2/m
* formation enthalpy at 0 K: -34.76 kcal/mol of atoms

=====

The following is a GGA-PBE calculation of SrRhAu4 after structural relaxation, from Alexandria.

abc: 5.577 5.577 5.577
angles: 60.00 60.00 60.00
Positions (direct):
Sr: 0.000 0.000 0.000
Au: 0.376 0.873 0.376
Rh: 0.750 0.750 0.750
Au: 0.376 0.376 0.873
Au: 0.376 0.376 0.376
Au: 0.873 0.376 0.376

## Properties
* symmetry: F-43m
* formation enthalpy at 0 K: -4.02 kcal/mol of atoms

=====

The following is a GGA-PBE calculation of MgPaSnPd after structural relaxation, from Alexandria.

abc: 5.008 5.008 5.008
angles: 60.00 60.00 60.00
Last column: magnetic moment on the atom in μB.
Positions (direct):
Sn: 0.750 0.750 0.750  0.01
Mg: 0.500 0.500 0.500  0.01
Pd: 0.250 0.250 0.250  -0.02
Pa: 0.000 0.000 0.000  0.56

## Properties
* symmetry: F-43m
* formation enthalpy at 0 K: -6.63 kcal/mol of atoms

=====

The following is a GGA-PBE calculation of Na6LiCd2 after structural relaxation, from Alexandria.

abc: 3.327 9.468 9.468
angles: 60.00 89.96 89.96
Positions (direct):
Na: 0.498 0.000 0.664
Li: 0.000 0.000 0.000
Na: 0.502 0.000 0.336
Na: 0.500 0.336 0.664
Na: 0.498 0.664 0.000
Na: 0.502 0.336 0.000
Na: 0.500 0.664 0.336
Cd: 0.000 0.667 0.667
Cd: 0.000 0.333 0.333

## Properties
* symmetry: C2/m
* polymorph energy (0 for the lowest one): 43 meV per atom
* formation enthalpy at 0 K: 0.23 kcal/mol of atoms

=====

The following is a GGA-PBE calculation of MnFeTe2 after structural relaxation, from Alexandria.

abc: 8.447 8.447 8.447
angles: 22.85 22.85 22.85
Positions (direct):
Te: 0.098 0.098 0.098
Mn: 0.500 0.500 0.500
Fe: 0.000 0.000 0.000
Te: 0.902 0.902 0.902

## Properties
* energy relative to the elements, uncorrected: 0.709 eV/atom
* symmetry: R-3m

=====

The following is a GGA-PBE calculation of TiCo3W after structural relaxation, from Alexandria.

abc: 4.169 4.169 4.169
angles: 90.00 90.00 90.00
Last column: magnetic moment on the atom in μB.
Positions (direct):
W: 0.500 0.500 0.500  1.00
Co: 0.000 0.500 0.000  0.88
Ti: 0.000 0.000 0.000  -0.30
Co: 0.000 0.000 0.500  0.85
Co: 0.500 0.000 0.000  0.98

## Properties
* symmetry: Pm-3m
* polymorph energy (0 for the lowest one): 0 meV per atom
* formation enthalpy at 0 K: 27.78 kcal/mol of atoms

=====

The following is a GGA-PBE calculation of YHg2I after structural relaxation, from Alexandria.

abc: 7.367 10.223 6.697
angles: 90.00 109.05 90.00
Positions (direct):
Y: 0.351 0.640 0.187
I: 0.000 0.316 0.500
Hg: 0.798 0.645 0.352
Hg: 0.000 0.938 0.500
Hg: 0.500 0.387 0.000
Y: 0.649 0.640 0.813
I: 0.000 0.816 0.000
Hg: 0.202 0.645 0.648
I: 0.500 0.901 0.000
Hg: 0.202 0.145 0.148
Y: 0.351 0.140 0.687
Hg: 0.000 0.438 0.000
Hg: 0.500 0.887 0.500
Hg: 0.798 0.145 0.852
I: 0.500 0.401 0.500
Y: 0.649 0.140 0.313

## Properties
* energy relative to the elements, uncorrected: -0.447 eV/atom
* symmetry: C2
* polymorph energy (0 for the lowest one): 66 meV per atom